A plane-wave DFT calculation with GGA-PBE was carried out for a relaxed structure of SiGeS2Cl.

Computed properties:
Energy above the most stable polymorph in this dataset (eV/atom): 0.0000
Crystal system: tetragonal

Unit cell a=4.6469 b=4.6469 c=4.5788 alpha=90.00 beta=90.00 gamma=90.00
With the nearest neighbours (Å) after each atom.
Fractional positions:
Ge 0.5000 0.5000 0.5000  8 S 3.26, 4 Cl 3.29
Si 0.0000 0.0000 0.0000  2 Cl 2.29, 4 S 2.32
S 0.0000 0.5000 0.0000  2 Si 2.32
S 0.5000 0.0000 0.0000  2 Si 2.32
Cl 0.0000 0.0000 0.5000  2 Si 2.29


A plane-wave DFT calculation with GGA-PBE was carried out for a relaxed structure of K3La2PaSe6.

Computed properties:
Crystal system: monoclinic

Unit cell a=7.5612 b=7.5612 c=8.1100 alpha=98.96 beta=98.96 gamma=119.99
With the nearest neighbours (Å) after each atom.
Fractional positions:
K 0.1687 0.8313 0.5000  6 Se 3.32-3.41
K 0.8313 0.1687 0.5000  6 Se 3.32-3.41
K 0.5000 0.5000 0.5000  6 Se 3.32-3.43
La 0.3335 0.6665 0.0000  6 Se 3.04-3.05
La 0.6665 0.3335 0.0000  6 Se 3.04-3.05
Pa 0.0000 0.0000 0.0000  6 Se 2.92-2.93
Se 0.9292 0.6084 0.7877  1 Pa 2.93, 2 La 3.05
Se 0.7503 0.7503 0.2121  1 Pa 2.92, 2 La 3.04
Se 0.0708 0.3916 0.2123  1 Pa 2.93, 2 La 3.05
Se 0.6084 0.9292 0.7877  1 Pa 2.93, 2 La 3.05
Se 0.2497 0.2497 0.7879  1 Pa 2.92, 2 La 3.04
Se 0.3916 0.0708 0.2123  1 Pa 2.93, 2 La 3.05


A plane-wave DFT calculation with GGA-PBE was carried out for a relaxed structure of Mg2BP2O10.

Computed properties:
Crystal system: monoclinic

Unit cell a=6.5354 b=6.5354 c=8.3820 alpha=84.15 beta=84.15 gamma=81.43
With the nearest neighbours (Å) after each atom.
Fractional positions:
Mg 0.0772 0.2344 0.6670  6 O 2.01-2.18
Mg 0.4586 0.8624 0.6555  6 O 2.01-2.21
Mg 0.7656 0.9228 0.3330  6 O 2.01-2.18
Mg 0.1376 0.5414 0.3445  6 O 2.01-2.21
B 0.2751 0.2627 0.0260  4 O 1.44-1.48
B 0.7373 0.7249 0.9740  4 O 1.44-1.48
P 0.9725 0.7529 0.6748  4 O 1.55-1.57
P 0.2471 0.0275 0.3252  4 O 1.55-1.57
P 0.6769 0.4644 0.2528  4 O 1.52-1.58
P 0.5356 0.3231 0.7472  4 O 1.52-1.58
O 0.4489 0.5209 0.3125  1 P 1.53
O 0.4073 0.1817 0.6738  1 P 1.55
O 0.1304 0.9067 0.6758  1 P 1.55
O 0.7779 0.8547 0.5904  1 P 1.55
O 0.1453 0.2221 0.4096  1 P 1.55
O 0.0723 0.5531 0.5963  1 P 1.55
O 0.3187 0.0880 0.1446  1 B 1.45, 1 P 1.57
O 0.9120 0.6813 0.8554  1 B 1.45, 1 P 1.57
O 0.4469 0.9277 0.4037  1 P 1.55
O 0.1208 0.2397 0.9211  1 B 1.44
O 0.5495 0.8207 0.9055  1 B 1.44
O 0.7603 0.8792 0.0789  1 B 1.44
O 0.1793 0.4505 0.0945  1 B 1.44
O 0.4791 0.5511 0.6875  1 P 1.53
O 0.7401 0.2321 0.2835  1 P 1.52
O 0.8183 0.5927 0.3262  1 P 1.55
O 0.4749 0.2992 0.9355  1 B 1.48, 1 P 1.58
O 0.7008 0.5251 0.0645  1 B 1.48, 1 P 1.58
O 0.0933 0.8696 0.3242  1 P 1.55
O 0.7679 0.2599 0.7165  1 P 1.52


So what do the calculations give for uncorrected formation energy? Going down the list: 0.05; -1.64; -2.03 eV per atom.